Model 1:
9
Lattice="8.028 0.000 0.000 -4.014 6.952 0.000 0.000 0.000 4.584" Properties=species:S:1:pos:R:3 comment="PBE La3In4Hg2, optimized geometry" space_group=P-62m density_g_cm3=8.290 magmom_total_mub_per_atom=0.0000 pbc="T T T"
La -1.634 2.831 0.000
La 3.269 0.000 0.000
La 2.379 4.121 0.000
In 0.000 0.000 0.000
In -2.999 5.194 2.292
In 1.015 1.758 2.292
In 5.997 0.000 2.292
Hg 0.000 4.635 2.292
Hg 4.014 2.317 2.292

Model 2:
9
Lattice="5.874 -2.498 0.000 5.874 2.498 0.000 -3.992 0.000 8.656" Properties=species:S:1:pos:R:3 comment="PBE La3In4Hg2, optimized geometry" space_group=C2/m density_g_cm3=8.349 magmom_total_mub_per_atom=0.0000 pbc="T T T"
La 0.000 0.000 0.000
La 2.493 0.000 2.967
La 5.262 0.000 5.689
In -1.053 0.000 3.194
In -0.648 0.000 8.007
In 8.403 0.000 0.649
In 8.809 0.000 5.462
Hg 1.600 0.000 6.159
Hg 6.155 0.000 2.497

The energy of each structure relative to the most stable one, in kJ/mol of atoms, is as follows: model 1 3.1; model 2 0.0.

Model 1:
18
Lattice="3.224 -8.423 0.000 3.224 8.423 0.000 0.000 0.000 8.873" Properties=species:S:1:pos:R:3 comment="PBE La2In3Hg4, optimized geometry" space_group=Cmce density_g_cm3=9.818 magmom_total_mub_per_atom=0.0000 pbc="T T T"
La 3.224 6.487 8.155
La 3.224 1.935 3.719
La 3.224 -1.935 5.155
La 3.224 -6.487 0.718
In 0.000 0.000 4.437
In 1.612 3.666 6.655
In 1.612 -3.666 2.218
In 3.224 0.000 0.000
In 4.836 3.666 6.655
In 4.836 -3.666 2.218
Hg 3.224 5.436 4.816
Hg 1.612 0.773 6.655
Hg 1.612 -0.773 2.218
Hg 3.224 2.987 0.380
Hg 3.224 -2.987 8.493
Hg 4.836 0.773 6.655
Hg 4.836 -0.773 2.218
Hg 3.224 -5.436 4.057

Model 2:
9
Lattice="5.164 0.000 0.000 -2.582 4.472 0.000 0.000 0.000 10.464" Properties=species:S:1:pos:R:3 comment="PBE La2In3Hg4, optimized geometry" space_group=P-3m1 density_g_cm3=9.792 magmom_total_mub_per_atom=0.0000 pbc="T T T"
La 0.000 2.981 3.017
La 2.582 1.491 7.447
In 0.000 0.000 5.232
In 0.000 2.981 9.809
In 2.582 1.491 0.656
Hg 0.000 0.000 1.673
Hg 0.000 0.000 8.792
Hg 0.000 2.981 6.317
Hg 2.582 1.491 4.148

The energy of each structure relative to the most stable one, in kJ/mol of atoms, is as follows: model 1 5.7; model 2 0.0.

Model 1:
6
Lattice="3.975 0.000 0.000 0.000 3.975 0.000 0.000 0.000 12.398" Properties=species:S:1:pos:R:3 comment="PBE La4InHg, optimized geometry" space_group=P4/mmm density_g_cm3=7.383 magmom_total_mub_per_atom=0.1991 pbc="T T T"
La 0.000 0.000 1.870
La 0.000 0.000 10.528
La 1.988 1.988 4.314
La 1.988 1.988 8.084
In 0.000 0.000 6.199
Hg 1.988 1.988 0.000

Model 2:
6
Lattice="3.819 -3.819 0.000 3.819 3.819 0.000 -0.008 0.000 7.598" Properties=species:S:1:pos:R:3 comment="PBE La4InHg, optimized geometry" space_group=C2/m density_g_cm3=6.527 magmom_total_mub_per_atom=0.0001 pbc="T T T"
La 1.906 1.908 1.848
La 5.723 -1.908 5.750
La 1.906 -1.908 1.848
La 5.723 1.908 5.750
In -0.004 0.000 3.799
Hg 3.819 0.000 0.000

Model 3:
6
Lattice="0.000 4.605 4.605 4.605 0.000 4.605 4.605 4.605 0.000" Properties=species:S:1:pos:R:3 comment="PBE La4InHg, optimized geometry" space_group=F-43m density_g_cm3=7.405 magmom_total_mub_per_atom=0.0015 pbc="T T T"
La 3.466 3.466 3.466
La 5.745 5.745 3.466
La 5.745 3.466 5.745
La 3.466 5.745 5.745
In 6.908 6.908 6.908
Hg 0.000 0.000 0.000

The energy of each structure relative to the most stable one, in kJ/mol of atoms, is as follows: model 1 0.0; model 2 15.9; model 3 40.2.

Model 1:
5
Lattice="-2.470 2.470 7.011 2.470 -2.470 7.011 2.470 2.470 -7.011" Properties=species:S:1:pos:R:3 comment="PBE La2In2Hg, optimized geometry" space_group=I4/mmm density_g_cm3=6.872 magmom_total_mub_per_atom=0.0000 pbc="T T T"
La 2.470 0.000 3.505
La 0.000 2.470 3.505
In 0.000 0.000 1.342
In 0.000 0.000 12.679
Hg 0.000 0.000 7.011

Model 2:
10
Lattice="5.824 -2.471 0.000 5.824 2.471 0.000 -5.224 0.000 10.366" Properties=species:S:1:pos:R:3 comment="PBE La2In2Hg, optimized geometry" space_group=C2/m density_g_cm3=7.882 magmom_total_mub_per_atom=0.0207 pbc="T T T"
La -1.533 0.000 3.453
La 1.539 0.000 1.026
La 4.884 0.000 9.340
La 7.956 0.000 6.912
In 1.897 0.000 4.536
In 4.874 0.000 1.189
In 1.549 0.000 9.176
In 4.526 0.000 5.829
Hg -0.237 0.000 6.869
Hg 6.660 0.000 3.497

The energy of each structure relative to the most stable one, in kJ/mol of atoms, is as follows: model 1 55.2; model 2 0.0.

Model 1:
10
Lattice="7.712 0.000 0.000 0.000 7.712 0.000 0.000 0.000 5.026" Properties=species:S:1:pos:R:3 comment="PBE La2In2Hg, optimized geometry" space_group=P4/mbm density_g_cm3=7.868 magmom_total_mub_per_atom=0.0000 pbc="T T T"
La 1.298 2.558 0.000
La 2.558 6.414 0.000
La 5.153 1.298 0.000
La 6.414 5.153 0.000
In 1.049 4.905 2.513
In 2.806 1.049 2.513
In 4.905 6.662 2.513
In 6.662 2.806 2.513
Hg 0.000 0.000 2.513
Hg 3.856 3.856 2.513

Model 2:
10
Lattice="5.805 -2.537 0.000 5.805 2.537 0.000 -3.722 0.000 9.871" Properties=species:S:1:pos:R:3 comment="PBE La2In2Hg, optimized geometry" space_group=C2/m density_g_cm3=8.088 magmom_total_mub_per_atom=0.0000 pbc="T T T"
La -0.436 0.000 3.568
La 1.744 0.000 0.624
La 6.145 0.000 9.247
La 8.325 0.000 6.303
In 2.968 0.000 3.883
In 5.177 0.000 1.395
In 2.711 0.000 8.476
In 4.920 0.000 5.988
Hg 0.084 0.000 7.084
Hg 7.804 0.000 2.787

Model 3:
10
Lattice="9.255 0.000 0.000 0.000 9.255 0.000 0.000 0.000 3.793" Properties=species:S:1:pos:R:3 comment="PBE La2In2Hg, optimized geometry" space_group=P4/mbm density_g_cm3=7.238 magmom_total_mub_per_atom=0.0000 pbc="T T T"
La 1.684 2.944 0.000
La 2.944 7.572 0.000
La 6.311 1.684 0.000
La 7.572 6.311 0.000
In 1.062 5.689 1.896
In 3.566 1.062 1.896
In 5.689 8.193 1.896
In 8.193 3.566 1.896
Hg 0.000 0.000 0.000
Hg 4.628 4.628 0.000

The energy of each structure relative to the most stable one, in kJ/mol of atoms, is as follows: model 1 4.0; model 2 0.0; model 3 16.3.

Model 1:
5
Lattice="6.259 0.000 0.000 0.000 6.259 0.000 0.000 0.000 6.259" Properties=species:S:1:pos:R:3 comment="PBE LaIn3Hg, optimized geometry" space_group=Pm-3m density_g_cm3=4.631 magmom_total_mub_per_atom=0.0003 pbc="T T T"
La 0.000 0.000 0.000
In 0.000 0.000 3.130
In 0.000 3.130 0.000
In 3.130 0.000 0.000
Hg 3.130 3.130 3.130

Model 2:
5
Lattice="5.765 0.000 0.000 -1.552 5.552 0.000 -1.552 -2.094 5.155" Properties=species:S:1:pos:R:3 comment="PBE LaIn3Hg, optimized geometry" space_group=P-1 density_g_cm3=6.883 magmom_total_mub_per_atom=0.0000 pbc="T T T"
La 0.000 0.000 0.000
In -1.552 1.729 2.577
In 2.106 -1.047 2.577
In 2.106 2.776 0.000
Hg 1.330 1.729 2.577

Model 3:
20
Lattice="6.542 -5.218 0.000 6.542 5.218 0.000 -2.699 0.000 8.060" Properties=species:S:1:pos:R:3 comment="PBE LaIn3Hg, optimized geometry" space_group=C2/c density_g_cm3=8.256 magmom_total_mub_per_atom=0.0000 pbc="T T T"
La 4.517 4.029 6.045
La 5.867 1.390 2.015
La 4.517 -1.390 6.045
La 5.867 -4.029 2.015
In 0.028 1.312 5.245
In 2.297 1.404 0.229
In 2.807 1.194 3.708
In 1.378 -1.312 1.215
In 0.947 -1.404 4.258
In 1.458 -1.194 7.738
In 8.927 1.194 0.321
In 9.437 1.404 3.801
In 9.006 1.312 6.844
In 7.577 -1.194 4.351
In 8.087 -1.404 7.831
In 10.356 -1.312 2.815
Hg 2.854 1.311 6.798
Hg 6.181 1.311 5.291
Hg 4.204 -1.311 2.769
Hg 7.530 -1.311 1.261

The energy of each structure relative to the most stable one, in kJ/mol of atoms, is as follows: model 1 91.0; model 2 32.1; model 3 0.0.

Model 1:
18
Lattice="-5.181 5.190 5.587 5.181 -5.190 5.587 5.181 5.190 -5.587" Properties=species:S:1:pos:R:3 comment="PBE La6InHg2, optimized geometry" space_group=Immm density_g_cm3=7.458 magmom_total_mub_per_atom=0.0000 pbc="T T T"
La 5.181 -2.857 3.613
La 3.158 0.000 2.784
La 7.204 0.000 2.784
La 3.259 2.861 0.000
La 7.103 2.861 0.000
La 0.000 2.333 1.974
La 5.181 2.857 3.613
La -1.922 2.329 5.587
La 1.922 2.329 5.587
La -2.023 5.190 2.803
La 2.023 5.190 2.803
La 0.000 8.047 1.974
In 5.181 0.000 0.000
In 0.000 5.190 0.000
Hg 1.542 0.000 0.000
Hg 8.820 0.000 0.000
Hg 0.000 0.000 4.095
Hg 0.000 0.000 7.079

Model 2:
9
Lattice="0.000 6.232 8.410 2.800 0.000 8.410 2.800 6.232 0.000" Properties=species:S:1:pos:R:3 comment="PBE La6InHg2, optimized geometry" space_group=Fmmm density_g_cm3=7.634 magmom_total_mub_per_atom=0.2254 pbc="T T T"
La 2.800 4.380 2.838
La 2.800 8.085 2.838
La 2.800 4.287 8.410
La 2.800 8.178 8.410
La 2.800 4.380 13.982
La 2.800 8.085 13.982
In 0.000 0.000 0.000
Hg 2.800 6.232 5.672
Hg 2.800 6.232 11.148

The energy of each structure relative to the most stable one, in kJ/mol of atoms, is as follows: model 1 2.5; model 2 0.0.

Model 1:
20
Lattice="8.745 0.000 0.000 0.000 8.398 0.000 -8.135 0.000 9.161" Properties=species:S:1:pos:R:3 comment="PBE La6In3Hg, optimized geometry" space_group=P2_1/c density_g_cm3=6.805 magmom_total_mub_per_atom=0.0000 pbc="T T T"
La -2.135 0.893 2.478
La -6.203 3.306 7.058
La 1.691 5.714 0.742
La -2.376 6.882 5.323
La 3.162 1.178 0.544
La -0.906 3.021 5.124
La 1.516 5.376 4.036
La -2.552 7.220 8.617
La 2.986 1.516 3.838
La -1.081 2.683 8.419
La 6.813 5.092 2.102
La 2.745 7.505 6.683
In 0.000 0.000 0.000
In -4.067 4.199 4.580
In -3.529 1.368 6.467
In 0.539 2.831 1.887
In 0.071 5.566 7.274
In 4.139 7.030 2.694
Hg 0.305 0.000 4.580
Hg 4.372 4.199 0.000

Model 2:
20
Lattice="9.783 0.000 0.000 0.000 5.522 0.000 -3.615 0.000 11.655" Properties=species:S:1:pos:R:3 comment="PBE La6In3Hg, optimized geometry" space_group=P2_1/m density_g_cm3=7.270 magmom_total_mub_per_atom=0.0000 pbc="T T T"
La -1.123 1.381 4.842
La 0.941 4.142 2.051
La 2.412 1.381 0.016
La 0.466 4.142 9.380
La 2.386 1.381 4.129
La 1.816 1.381 7.223
La 4.353 4.142 4.432
La 3.782 4.142 7.527
La 5.702 1.381 2.276
La 3.757 4.142 11.639
La 5.228 1.381 9.604
La 7.292 4.142 6.813
In -2.820 4.142 10.228
In -1.363 1.381 8.359
In 0.904 4.142 5.524
In 5.264 1.381 6.131
In 7.532 4.142 3.296
In 8.988 1.381 1.427
Hg 4.154 4.142 1.148
Hg 2.014 1.381 10.507

The energy of each structure relative to the most stable one, in kJ/mol of atoms, is as follows: model 1 13.9; model 2 0.0.

Model 1:
8
Lattice="5.696 -2.532 0.000 5.696 2.532 0.000 -3.017 0.000 7.286" Properties=species:S:1:pos:R:3 comment="PBE LaInHg6, optimized geometry" space_group=C2/m density_g_cm3=11.516 magmom_total_mub_per_atom=0.0000 pbc="T T T"
La 0.000 0.000 0.000
In -1.509 0.000 3.643
Hg 1.700 0.000 2.770
Hg 0.358 0.000 6.401
Hg 4.841 0.000 1.955
Hg 3.534 0.000 5.331
Hg 8.017 0.000 0.884
Hg 6.675 0.000 4.515

Model 2:
8
Lattice="5.010 0.000 0.000 0.000 3.790 5.535 0.000 -3.790 5.535" Properties=species:S:1:pos:R:3 comment="PBE LaInHg6, optimized geometry" space_group=Amm2 density_g_cm3=11.513 magmom_total_mub_per_atom=0.0000 pbc="T T T"
La 0.000 0.000 0.000
In 2.505 0.000 2.762
Hg 0.000 0.000 5.103
Hg 0.000 -1.685 8.085
Hg 0.000 1.685 8.085
Hg 2.505 -1.653 5.762
Hg 2.505 1.653 5.762
Hg 2.505 0.000 8.867

The energy of each structure relative to the most stable one, in kJ/mol of atoms, is as follows: model 1 0.0; model 2 0.6.